Entry 1:
Here is a relaxed ZrI2O2 crystal from the Alexandria database. Energies are from PBE.

total magnetization = 0.0 Bohr magnetons per cell
energy relative to the elements, uncorrected = -0.565 eV per atom
ΔE to the lowest computed polymorph = 663 meV per atom

abc: 5.827 5.827 4.008
angles: 90.00 90.00 90.00
Each line ends with the local moment (μB).
Atoms (fractional coordinates):
O (0.000, 0.000, 0.500)  0.01
I (0.000, 0.500, 0.000)  0.07
O (0.500, 0.500, 0.500)  -0.10
Zr (0.000, 0.000, 0.000)  -0.01
I (0.500, 0.000, 0.000)  0.07


Entry 2:
Here is a relaxed Sr2UIr2 crystal from the Alexandria database. Energies are from PBE.

total magnetization = 2.2 Bohr magnetons per cell
energy of formation = -0.33 eV per atom

abc: 6.496 6.496 7.323
angles: 82.60 82.60 62.71
Each line ends with the local moment (μB).
Atoms (fractional coordinates):
Ir (0.002, 0.707, 0.012)  -0.11
Sr (0.537, 0.761, 0.864)  0.02
Sr (0.463, 0.239, 0.136)  0.02
Sr (0.239, 0.463, 0.636)  0.02
Ir (0.998, 0.293, 0.988)  -0.11
Ir (0.293, 0.998, 0.488)  -0.11
U (0.945, 0.055, 0.750)  1.07
U (0.055, 0.945, 0.250)  1.07
Ir (0.707, 0.002, 0.512)  -0.11
Sr (0.761, 0.537, 0.364)  0.02


Entry 3:
Here is a relaxed CdHg2O crystal from the Alexandria database. Energies are from PBE.

total magnetization = 1.0 Bohr magnetons per cell
energy relative to the elements, uncorrected = 0.281 eV per atom
ΔE to the lowest computed polymorph = 325 meV per atom

abc: 4.851 4.851 4.851
angles: 60.00 60.00 60.00
Each line ends with the local moment (μB).
Atoms (fractional coordinates):
O (0.000, 0.000, 0.000)  -0.72
Cd (0.500, 0.500, 0.500)  -0.05
Hg (0.250, 0.250, 0.250)  -0.05
Hg (0.750, 0.750, 0.750)  -0.05


Entry 4:
Here is a relaxed TlIn2PtCl crystal from the Alexandria database. Energies are from PBE.

total magnetization = 0.0 Bohr magnetons per cell
energy relative to the elements, uncorrected = -0.517 eV per atom

abc: 5.214 5.214 5.373
angles: 90.00 90.00 90.00
Atoms (fractional coordinates):
In (0.000, 0.500, 0.000)
Cl (0.500, 0.500, 0.500)
Pt (0.000, 0.000, 0.000)
In (0.500, 0.000, 0.000)
Tl (0.000, 0.000, 0.500)


Entry 5:
Here is a relaxed Sm3Ho3Tl2 crystal from the Alexandria database. Energies are from PBE.

total magnetization = 0.0 Bohr magnetons per cell
energy of formation = -0.11 eV per atom
ΔE to the lowest computed polymorph = 77 meV per atom

abc: 5.157 6.539 16.148
angles: 90.00 90.00 113.22
Atoms (fractional coordinates):
Sm (0.043, 0.085, 0.605)
Ho (0.636, 0.272, 0.464)
Sm (0.957, 0.915, 0.105)
Tl (0.231, 0.463, 0.131)
Sm (0.274, 0.548, 0.750)
Ho (0.364, 0.728, 0.536)
Tl (0.769, 0.537, 0.631)
Tl (0.231, 0.463, 0.369)
Ho (0.445, 0.889, 0.250)
Ho (0.636, 0.272, 0.036)
Sm (0.726, 0.452, 0.250)
Ho (0.555, 0.111, 0.750)
Ho (0.364, 0.728, 0.964)
Tl (0.769, 0.537, 0.869)
Sm (0.043, 0.085, 0.895)
Sm (0.957, 0.915, 0.395)


Entry 6:
Here is a relaxed SmTl3Bi2Te6 crystal from the Alexandria database. Energies are from PBE.

total magnetization = 0.0 Bohr magnetons per cell
energy relative to the elements, uncorrected = -0.557 eV per atom

abc: 7.916 7.916 8.467
angles: 98.97 98.97 120.00
Atoms (fractional coordinates):
Tl (0.500, 0.500, 0.500)
Te (0.260, 0.260, 0.782)
Sm (0.000, 0.000, 0.000)
Tl (0.166, 0.834, 0.500)
Te (0.926, 0.593, 0.780)
Te (0.407, 0.074, 0.220)
Tl (0.834, 0.166, 0.500)
Te (0.740, 0.740, 0.218)
Te (0.593, 0.926, 0.780)
Bi (0.666, 0.334, 0.000)
Bi (0.334, 0.666, 0.000)
Te (0.074, 0.407, 0.220)


Entry 7:
Here is a relaxed YSi2Se crystal from the Alexandria database. Energies are from PBE.

total magnetization = 0.0 Bohr magnetons per cell
energy relative to the elements, uncorrected = -0.619 eV per atom

abc: 7.514 7.514 7.514
angles: 30.21 30.21 30.21
Atoms (fractional coordinates):
Y (0.503, 0.503, 0.503)
Si (0.969, 0.969, 0.969)
Si (0.267, 0.267, 0.267)
Se (0.762, 0.762, 0.762)


Entry 8:
Here is a relaxed LiReAs2 crystal from the Alexandria database. Energies are from PBE.

total magnetization = 0.0 Bohr magnetons per cell
energy of formation = 0.27 eV per atom
ΔE to the lowest computed polymorph = 458 meV per atom

abc: 2.747 2.747 9.860
angles: 90.00 90.00 110.02
Atoms (fractional coordinates):
As (0.000, 0.000, 0.952)
Re (0.500, 0.500, 0.746)
Li (0.000, 0.000, 0.511)
As (0.500, 0.500, 0.291)